Entry from the Alexandria database: a relaxed Be2MoSO crystal (GGA+U).

Unit cell a=4.646 b=4.646 c=4.457 alpha=90.00 beta=90.00 gamma=90.00
Element x y z (fractional)
Be1 0.000 0.500 0.000
Be2 0.500 0.000 0.000
Mo1 0.000 0.000 0.000
S1 0.000 0.000 0.500
O1 0.500 0.500 0.500

Properties
The calculation puts the total energy at -16.80 eV/cell.